No. 1
Hf3InB | Alexandria | PBE-GGA | optimized geometry; ΔE_f = 615 meV per atom; crystal system = orthorhombic
1.0
-1.475 2.058 1.954
-5.996 0.643 -5.204
1.277 -4.913 6.138
B Hf In
1 3 1
Cartesian
-1.877 -2.503 1.219 B
-3.649 -2.655 2.658 Hf
-1.287 -0.518 2.191 Hf
-0.728 -3.381 3.011 Hf
-0.127 -3.375 6.076 In

---

No. 2
Hf3InB | Alexandria | PBE-GGA | optimized geometry; ΔE_f = -310 meV per atom; crystal system = monoclinic
1.0
15.810 0.000 3.284
5.167 2.370 -1.526
-5.167 2.370 1.526
B Hf In
2 6 2
Cartesian
19.330 2.370 1.682 B
-3.520 2.370 1.602 B
10.702 2.370 3.173 Hf
5.108 2.370 0.111 Hf
14.045 2.370 3.298 Hf
1.765 2.370 -0.014 Hf
8.426 2.370 0.150 Hf
7.384 2.370 3.134 Hf
4.229 2.370 3.266 In
11.581 2.370 0.018 In

---

No. 3
Hf3InB | Alexandria | PBE-GGA | optimized geometry; ΔE_f = 0 meV per atom; crystal system = hexagonal
1.0
-1.891 3.209 2.954
-0.580 -4.642 0.846
7.928 -0.055 5.135
B Hf In
2 6 2
Cartesian
0.000 0.000 0.000 B
3.964 -0.028 2.568 B
1.982 -0.014 1.284 Hf
5.946 -0.041 3.851 Hf
-0.407 -2.029 1.944 Hf
2.337 -2.049 3.721 Hf
3.120 0.560 5.214 Hf
5.864 0.541 6.991 Hf
4.929 -2.067 5.400 In
0.528 0.578 3.535 In

---

No. 4
Hf3InB | Alexandria | PBE-GGA | optimized geometry; ΔE_f = -259 meV per atom; crystal system = monoclinic
1.0
5.420 0.000 -0.001
0.000 6.459 0.000
-0.011 0.001 5.588
B Hf In
2 6 2
Cartesian
0.905 6.428 3.686 B
3.615 6.428 3.686 B
2.261 1.569 4.705 Hf
4.968 4.828 2.667 Hf
4.968 1.568 2.666 Hf
4.968 6.428 5.549 Hf
2.261 6.428 1.822 Hf
2.261 4.828 4.705 Hf
2.257 3.198 1.964 In
4.971 3.198 5.407 In

---

No. 5
Hf3InB | Alexandria | PBE-GGA | optimized geometry; ΔE_f = 11 meV per atom; crystal system = cubic
1.0
0.000 6.102 6.102
6.102 0.000 6.102
6.102 6.102 0.000
B Hf In
4 12 4
Cartesian
1.525 1.525 1.525 B
4.576 1.525 4.576 B
1.525 4.576 4.576 B
4.576 4.576 1.525 B
2.377 6.102 6.102 Hf
5.428 3.051 3.051 Hf
3.051 3.051 5.428 Hf
0.674 3.051 3.051 Hf
3.051 0.674 3.051 Hf
6.102 9.826 6.102 Hf
3.051 5.428 3.051 Hf
3.051 3.051 0.674 Hf
6.102 2.377 6.102 Hf
9.826 6.102 6.102 Hf
6.102 6.102 2.377 Hf
6.102 6.102 9.826 Hf
7.627 7.627 7.627 In
4.576 7.627 4.576 In
7.627 4.576 4.576 In
4.576 4.576 7.627 In

---

No. 6
Hf3InB | Alexandria | PBE-GGA | optimized geometry; ΔE_f = -244 meV per atom; crystal system = triclinic
1.0
-3.092 -4.396 -0.465
3.427 -1.447 4.667
-3.682 3.348 3.411
B Hf In
2 6 2
Cartesian
-1.948 -2.331 6.073 B
-3.958 -1.000 2.380 B
-2.782 -0.189 4.409 Hf
-3.125 -3.143 4.044 Hf
-1.637 1.171 1.930 Hf
-5.708 -1.526 3.962 Hf
-0.199 -1.805 4.492 Hf
-1.178 -0.107 6.988 Hf
-1.669 -1.944 1.787 In
-0.555 -4.735 3.256 In

---

No. 7
Hf3InB | Alexandria | PBE-GGA | optimized geometry; ΔE_f = 267 meV per atom; crystal system = hexagonal
1.0
-2.000 -3.078 -1.156
3.837 -0.178 0.242
-1.277 -5.308 16.343
B Hf In
2 6 2
Cartesian
0.934 -5.126 12.034 B
-0.374 -3.439 3.396 B
-0.319 -1.327 4.086 Hf
-0.958 -3.981 12.258 Hf
0.764 -5.830 14.203 Hf
1.103 -4.421 9.864 Hf
-0.543 -4.143 5.565 Hf
-0.204 -2.734 1.226 Hf
0.000 0.000 0.000 In
-0.639 -2.654 8.172 In

---

No. 8
Hf3InB | Alexandria | PBE-GGA | optimized geometry; ΔE_f = 387 meV per atom; crystal system = tetragonal
1.0
-2.920 2.378 0.619
-0.726 -1.753 3.311
4.921 5.064 3.759
B Hf In
1 3 1
Cartesian
1.219 3.443 4.289 B
3.524 3.626 2.692 Hf
0.608 3.317 1.889 Hf
1.705 1.251 3.235 Hf
0.439 0.451 0.335 In

---

No. 9
Hf3InB | Alexandria | PBE-GGA | optimized geometry; ΔE_f = -234 meV per atom; crystal system = orthorhombic
1.0
5.082 -0.003 -0.001
0.002 5.599 0.000
-2.538 2.798 6.887
B Hf In
2 6 2
Cartesian
-1.072 4.448 6.853 B
0.782 4.446 6.852 B
2.395 2.786 1.801 Hf
2.395 3.309 5.317 Hf
2.397 6.159 6.852 Hf
-0.146 6.112 1.501 Hf
-0.145 5.581 5.017 Hf
-0.144 7.941 6.852 Hf
-0.146 2.909 3.467 In
2.396 5.711 3.352 In

---

No. 10
Hf3InB | Alexandria | PBE-GGA | optimized geometry; ΔE_f = 1054 meV per atom; crystal system = tetragonal
1.0
5.195 0.000 0.000
0.000 5.195 0.000
2.598 2.598 10.470
B Hf In
2 6 2
Cartesian
5.195 2.598 6.112 B
5.195 2.598 4.358 B
3.929 5.195 2.791 Hf
2.598 3.864 7.679 Hf
2.598 6.527 7.679 Hf
1.266 5.195 2.791 Hf
2.598 2.598 4.646 Hf
5.195 5.195 5.824 Hf
0.000 0.000 0.000 In
2.598 5.195 5.235 In

---

No. 11
Hf3InB | Alexandria | PBE-GGA | optimized geometry; ΔE_f = 73 meV per atom; crystal system = monoclinic
1.0
-5.319 -17.786 25.971
0.871 -4.436 -2.860
4.149 6.645 -9.044
B Hf In
4 12 4
Cartesian
2.779 3.132 -6.175 B
-3.078 -18.710 20.242 B
1.597 -6.194 2.928 B
-1.896 -9.384 11.139 B
1.446 -0.237 -0.098 Hf
-1.746 -15.341 14.165 Hf
2.711 -1.711 -2.431 Hf
-3.010 -13.867 16.497 Hf
0.910 -3.846 3.743 Hf
-1.210 -11.731 10.324 Hf
3.524 0.484 -7.183 Hf
-3.823 -16.062 21.250 Hf
0.741 -10.446 7.119 Hf
-1.040 -5.132 6.948 Hf
-1.311 -12.304 14.379 Hf
1.012 -3.274 -0.312 Hf
0.011 -6.630 4.663 In
-0.311 -8.948 9.404 In
-0.053 -1.710 2.015 In
-0.247 -13.867 12.052 In

---

No. 12
Hf2InB | Alexandria | PBE-GGA | optimized geometry; ΔE_f = 129 meV per atom; energy above the most stable polymorph in this dataset = 564 meV per atom; crystal system = tetragonal
1.0
-2.827 -0.999 6.439
-4.124 -5.160 -2.611
-1.313 -5.127 2.546
B Hf In
2 4 2
Cartesian
-3.475 -3.079 1.914 B
-4.456 -6.683 0.924 B
-2.428 -2.487 3.918 Hf
-3.442 -4.696 0.225 Hf
-3.857 -6.488 3.176 Hf
-6.800 -8.901 5.427 Hf
0.000 0.000 0.000 In
-3.807 -4.603 5.449 In